# 1
Nb2CrI | meta-GGA SCAN | single point on PBEsol structure

Unit cell a=4.5995 b=4.5995 c=4.5995 alpha=60.00 beta=60.00 gamma=60.00
Fractional coordinates of all 4 atoms:
1 Nb 0.7500 0.7500 0.7500
2 Nb 0.2500 0.2500 0.2500
3 I 0.5000 0.5000 0.5000
4 Cr 0.0000 0.0000 0.0000

Summary:
The value obtained for the energy is -29.5971 eV/atom. The uncorrected formation energy comes out at 0.7493 eV/atom.

# 2
TlSbPb2 | meta-GGA SCAN | single point on PBEsol structure

Unit cell a=3.4441 b=5.8910 c=6.0103 alpha=100.57 beta=106.65 gamma=90.00
Fractional coordinates of all 4 atoms:
1 Pb 0.9992 0.0065 0.9984
2 Pb 0.2474 0.7335 0.4948
3 Sb 0.5002 0.5134 0.0003
4 Tl 0.7532 0.2466 0.5065

Summary:
As for the offset from the most stable computed form: 46 meV/atom. The value obtained for the energy is -65.2317 eV/atom. The uncorrected formation energy comes out at 0.0637 eV/atom.